No. 1
Entry from OQMD via LeMat-Bulk: a geometry-optimized Ir5F structure (PBE-GGA).

## Properties
Volume: 16.5 Å³ per atom
DFT total energy: -7.064 eV/atom
SG: No. 191
M_tot: 1.2 μB per cell

abc: 5.0866 5.0866 4.4265
angles: 90.00 90.00 120.00
With the nearest neighbours (Å) after each atom.
Sites, in units of the cell vectors:
F1 0.0000 0.0000 0.0000  6 Ir 2.94
Ir1 0.6667 0.3333 0.0000  9 Ir 2.66-2.94, 3 F 2.94
Ir2 0.3333 0.6667 0.0000  9 Ir 2.66-2.94, 3 F 2.94
Ir3 0.5000 0.0000 0.5000  8 Ir 2.54-2.66
Ir4 0.0000 0.5000 0.5000  8 Ir 2.54-2.66
Ir5 0.5000 0.5000 0.5000  8 Ir 2.54-2.66



No. 2
Entry from OQMD via LeMat-Bulk: a geometry-optimized IrF8 structure (PBE-GGA).

## Properties
Volume: 9.2 Å³ per atom
DFT total energy: -3.384 eV/atom
SG: No. 15
M_tot: 0.0 μB per cell

abc: 5.8062 5.8062 8.2267
angles: 122.80 122.80 47.57
With the nearest neighbours (Å) after each atom.
Sites, in units of the cell vectors:
F1 0.7863 0.8670 0.0050  1 Ir 1.88
F2 0.3291 0.4968 0.0653  1 Ir 1.89
F3 0.8734 0.2774 0.1813  1 Ir 1.90
F4 0.4102 0.9097 0.2331  1 Ir 1.90
F5 0.0903 0.5898 0.2669  1 Ir 1.90
F6 0.7226 0.1266 0.3187  1 Ir 1.90
F7 0.5032 0.6709 0.4347  1 Ir 1.89
F8 0.1330 0.2137 0.4950  1 Ir 1.88
F9 0.8670 0.7863 0.5050  1 Ir 1.88
F10 0.4968 0.3291 0.5653  1 Ir 1.89
F11 0.2774 0.8734 0.6813  1 Ir 1.90
F12 0.9097 0.4102 0.7331  1 Ir 1.90
F13 0.5898 0.0903 0.7669  1 Ir 1.90
F14 0.1266 0.7226 0.8187  1 Ir 1.90
F15 0.6709 0.5032 0.9347  1 Ir 1.89
F16 0.2137 0.1330 0.9950  1 Ir 1.88
Ir1 0.1088 0.8912 0.2500  8 F 1.88-1.90
Ir2 0.8912 0.1088 0.7500  8 F 1.88-1.90



No. 3
Entry from OQMD via LeMat-Bulk: a geometry-optimized K2LiIrF6 structure (PBE-GGA).

## Properties
Volume: 12.9 Å³ per atom
DFT total energy: -4.698 eV/atom
SG: No. 166
M_tot: 0.0 μB per cell

abc: 9.9604 9.9604 9.9604
angles: 32.75 32.75 32.75
With the nearest neighbours (Å) after each atom.
Sites, in units of the cell vectors:
F1 0.6203 0.6203 0.1283  1 Ir 2.02, 1 Li 2.10
F2 0.7061 0.2090 0.2090  1 Li 1.87, 1 Ir 2.01
F3 0.2090 0.7061 0.2090  1 Li 1.87, 1 Ir 2.01
F4 0.7910 0.7910 0.2939  1 Li 1.87, 1 Ir 2.01
F5 0.8717 0.3797 0.3797  1 Ir 2.02, 1 Li 2.10
F6 0.3797 0.8717 0.3797  1 Ir 2.02, 1 Li 2.10
F7 0.6203 0.1283 0.6203  1 Ir 2.02, 1 Li 2.10
F8 0.1283 0.6203 0.6203  1 Ir 2.02, 1 Li 2.10
F9 0.2090 0.2090 0.7061  1 Li 1.87, 1 Ir 2.01
F10 0.7910 0.2939 0.7910  1 Li 1.87, 1 Ir 2.01
F11 0.2939 0.7910 0.7910  1 Li 1.87, 1 Ir 2.01
F12 0.3797 0.3797 0.8717  1 Ir 2.02, 1 Li 2.10
Ir1 0.0000 0.0000 0.0000  6 F 2.01
Ir2 0.5000 0.5000 0.5000  6 F 2.02
K1 0.1274 0.1274 0.1274  12 F 2.81-2.93
K2 0.2864 0.2864 0.2864  12 F 2.71-2.97
K3 0.7136 0.7136 0.7136  12 F 2.71-2.97
K4 0.8726 0.8726 0.8726  12 F 2.81-2.93
Li1 0.4081 0.4081 0.4081  3 F 1.87
Li2 0.5919 0.5919 0.5919  3 F 1.87